A geometry-optimized Sr2FeBrO3 structure, computed with GGA+U.

abc: 3.991 3.991 15.801
angles: 90.00 90.00 90.00
Sites, in units of the cell vectors:
O 0.000 0.000 0.210
O 0.500 0.500 0.790
O 0.500 0.000 0.932
O 0.000 0.500 0.068
O 0.000 0.000 0.790
O 0.500 0.500 0.210
Fe 0.000 0.500 0.189
Fe 0.500 0.000 0.811
Sr 0.000 0.500 0.687
Sr 0.500 0.000 0.088
Sr 0.500 0.000 0.313
Sr 0.000 0.500 0.912
Br 0.500 0.000 0.596
Br 0.000 0.500 0.404

Properties
Its density is 4.737 g/cm3. Its total energy is -82.594 eV per cell. The crystal system is tetragonal.